DFT (PBE) results for a relaxed Tc2PtBr crystal.

Values from the calculation:
DOS at the Fermi energy	0.81	states/eV/atom
ΔE_f (raw)	0.60	eV/atom
E_tot	-26.03	eV/f.u.
crystal system	orthorhombic

a = 2.805 Å, b = 4.532 Å, c = 10.771 Å
α = 90.00°, β = 90.00°, γ = 90.00°
Space group Imm2 (No. 44)
Unique sites:
Tc (0.000, 0.000, 0.000) [2 per cell]
Tc (0.000, 0.500, 0.306) [2 per cell]
Pt (0.000, 0.000, 0.557) [2 per cell]
Br (0.000, 0.500, 0.757) [2 per cell]